No. 1
Below is a relaxed structure of GaFeIr, with properties calculated at the PBE level.

Computed properties:
* total energy: -20.31 eV per cell
* SG: No. 2
* formation enthalpy at 0 K: 0.04 eV per formula unit

a b c (Å): 5.0837 4.2222 4.2950
angles (deg): 89.87 89.89 33.69
Last column: magnetic moment on the atom in μB.
Fractional positions:
1 Ga 0.0000 0.5000 0.0000  -0.02
2 Fe 0.0000 0.0000 0.5000  2.99
3 Ir 0.5000 0.5000 0.0000  0.19

No. 2
Below is a relaxed structure of Ga2FeIr, with properties calculated at the PBE level.

Computed properties:
* total energy: -24.22 eV per cell
* SG: No. 123
* formation enthalpy at 0 K: -0.84 eV per formula unit

a b c (Å): 2.9847 4.2260 4.2260
angles (deg): 90.00 90.00 90.00
Last column: magnetic moment on the atom in μB.
Fractional positions:
1 Ir 0.5000 0.5000 0.5000  -0.08
2 Fe 0.5000 0.0000 0.0000  0.70
3 Ga 0.0000 0.0000 0.5000  -0.03
4 Ga 0.0000 0.5000 0.0000  -0.03

No. 3
Below is a relaxed structure of Ga3FeIr, with properties calculated at the PBE level.

Computed properties:
* energy above the lowest structure with this stoichiometry: 0.0000 eV per atom
* total energy: -24.47 eV per cell
* SG: No. 221
* formation enthalpy at 0 K: 1.94 eV per formula unit

a b c (Å): 4.7791 4.7791 4.7791
angles (deg): 90.00 90.00 90.00
Last column: magnetic moment on the atom in μB.
Fractional positions:
1 Ir 0.0000 0.0000 0.0000  0.06
2 Fe 0.5000 0.5000 0.5000  3.19
3 Ga 0.0000 0.5000 0.0000  0.00
4 Ga 0.0000 0.0000 0.5000  0.01
5 Ga 0.5000 0.0000 0.0000  0.03

No. 4
Below is a relaxed structure of Ga2FeIr4, with properties calculated at the PBE level.

Computed properties:
* total energy: -50.42 eV per cell
* SG: No. 65
* formation enthalpy at 0 K: -0.46 eV per formula unit

a b c (Å): 4.1435 5.1755 5.1755
angles (deg): 109.48 90.00 90.00
Last column: magnetic moment on the atom in μB.
Fractional positions:
1 Ir 0.0000 0.7592 0.7592  0.15
2 Ir 0.0000 0.2408 0.2408  0.15
3 Ir 0.5000 0.0000 0.5000  0.14
4 Ir 0.5000 0.5000 0.0000  0.14
5 Fe 0.5000 0.5000 0.5000  2.79
6 Ga 0.0000 0.7505 0.2495  -0.01
7 Ga 0.0000 0.2495 0.7505  -0.01

No. 5
Below is a relaxed structure of Ga2FeIr3, with properties calculated at the PBE level.

Computed properties:
* total energy: -42.71 eV per cell
* SG: No. 123
* formation enthalpy at 0 K: -1.61 eV per formula unit

a b c (Å): 3.0265 3.0265 9.2081
angles (deg): 90.00 90.00 90.00
Last column: magnetic moment on the atom in μB.
Fractional positions:
1 Ga 0.5000 0.5000 0.8298  0.00
2 Ga 0.5000 0.5000 0.1702  0.00
3 Fe 0.5000 0.5000 0.5000  3.10
4 Ir 0.0000 0.0000 0.0000  0.09
5 Ir 0.0000 0.0000 0.6678  0.45
6 Ir 0.0000 0.0000 0.3322  0.45

No. 6
Below is a relaxed structure of GaFe2Ir, with properties calculated at the PBE level.

Computed properties:
* total energy: -29.49 eV per cell
* SG: No. 123
* formation enthalpy at 0 K: -0.67 eV per formula unit

a b c (Å): 3.9468 3.6715 3.6715
angles (deg): 90.00 90.00 90.00
Last column: magnetic moment on the atom in μB.
Fractional positions:
1 Ir 0.5000 0.0000 0.0000  0.34
2 Fe 0.0000 0.0000 0.5000  2.69
3 Fe 0.0000 0.5000 0.0000  2.69
4 Ga 0.5000 0.5000 0.5000  -0.09

Q: What is the formation enthalpy at 0 K in the sixth record?
A: -0.67 eV per formula unit

Please write out number 2 again, unchanged.
Below is a relaxed structure of Ga2FeIr, with properties calculated at the PBE level.

Computed properties:
* total energy: -24.22 eV per cell
* SG: No. 123
* formation enthalpy at 0 K: -0.84 eV per formula unit

a b c (Å): 2.9847 4.2260 4.2260
angles (deg): 90.00 90.00 90.00
Last column: magnetic moment on the atom in μB.
Fractional positions:
1 Ir 0.5000 0.5000 0.5000  -0.08
2 Fe 0.5000 0.0000 0.0000  0.70
3 Ga 0.0000 0.0000 0.5000  -0.03
4 Ga 0.0000 0.5000 0.0000  -0.03

Q: Among the records above, which one has the highest formation enthalpy at 0 K?
A: Ga3FeIr

Q: Which value of formation enthalpy at 0 K does entry 2 give?
A: -0.84 eV per formula unit